(1)
# LaAsF2

A relaxed LaAsF2 crystal (PBE, Alexandria).

POSCAR file:
```
LaAsF2
1.0
-5.874 -2.681 -0.432
-4.857 -2.528 3.450
-6.224 0.765 1.601
As F La
1 2 1
Direct
0.500 0.500 0.500
0.700 0.700 0.700
0.300 0.300 0.300
0.000 0.000 0.000
```

Calculated values
**Magnetization**: 0.1 μB/cell
**Offset from the most stable computed form**: 0.000 eV per formula unit



(2)
# LaAsF

A relaxed LaAsF crystal (PBE, Alexandria).

POSCAR file:
```
LaAsF
1.0
4.506 0.000 0.000
0.000 4.146 0.000
0.000 -2.073 3.590
As F La
1 1 1
Direct
0.667 0.667 0.333
0.166 0.333 0.667
0.167 0.000 0.000
```

Calculated values
**Magnetization**: 0.0 μB/cell
**Offset from the most stable computed form**: 0.142 eV per formula unit



(3)
# LaAs2F

A relaxed LaAs2F crystal (PBE, Alexandria).

POSCAR file:
```
LaAs2F
1.0
-0.394 0.311 4.939
-4.186 1.705 2.054
-3.004 -3.101 2.451
As F La
2 1 1
Direct
0.250 0.250 0.250
0.750 0.750 0.750
0.000 0.000 0.000
0.500 0.500 0.500
```

Calculated values
**Magnetization**: 0.0 μB/cell
**Offset from the most stable computed form**: 3.197 eV per formula unit



(4)
# LaAs2F

A relaxed LaAs2F crystal (PBE, Alexandria).

POSCAR file:
```
LaAs2F
1.0
3.820 0.000 0.000
0.000 3.820 0.000
1.910 1.910 11.483
As F La
4 2 2
Direct
0.657 0.125 0.250
0.093 0.625 0.250
0.375 0.343 0.750
0.875 0.907 0.750
0.500 0.500 0.000
0.250 0.750 0.500
0.000 0.000 0.000
0.750 0.250 0.500
```

Calculated values
**Magnetization**: 0.0 μB/cell
**Offset from the most stable computed form**: 0.000 eV per formula unit



(5)
# LaAsF

A relaxed LaAsF crystal (PBE, Alexandria).

POSCAR file:
```
LaAsF
1.0
-2.322 0.314 3.509
-1.016 -4.104 -2.842
6.457 -1.905 4.444
F La As
2 2 2
Direct
0.844 0.687 0.068
0.156 0.313 0.932
0.660 0.320 0.768
0.340 0.680 0.232
0.321 0.641 0.599
0.679 0.359 0.401
```

Calculated values
**Magnetization**: 0.0 μB/cell
**Offset from the most stable computed form**: 0.000 eV per formula unit



(6)
# LaMgAsF2

A relaxed LaMgAsF2 crystal (PBE, Alexandria).

POSCAR file:
```
LaMgAsF2
1.0
4.410 0.000 0.000
0.000 4.410 0.000
0.000 0.000 7.236
As F Mg La
1 2 1 1
Direct
0.500 0.500 0.500
0.000 0.500 0.000
0.500 0.000 0.000
0.000 0.000 0.500
0.000 0.000 0.000
```

Calculated values
**Magnetization**: 0.0 μB/cell



(7)
# LaAsOF2

A relaxed LaAsOF2 crystal (PBE, Alexandria).

POSCAR file:
```
LaAsOF2
1.0
-3.335 -3.141 0.564
2.057 -2.740 -3.093
2.085 -1.695 2.888
As F O La
1 2 1 1
Direct
0.000 0.000 0.000
0.000 0.500 0.000
0.500 0.000 0.000
0.000 0.000 0.500
0.500 0.500 0.500
```

Calculated values
**Magnetization**: 0.0 μB/cell
**Offset from the most stable computed form**: 2.003 eV per formula unit



(8)
# LaAsO2F

A relaxed LaAsO2F crystal (PBE, Alexandria).

POSCAR file:
```
LaAsO2F
1.0
-1.402 1.260 -4.283
-4.465 -0.412 1.340
-0.016 4.346 1.284
As F O La
1 1 2 1
Direct
0.500 0.500 0.500
0.000 0.000 0.500
0.000 0.500 0.000
0.500 0.000 0.000
0.000 0.000 0.000
```

Calculated values
**Magnetization**: 1.4 μB/cell



(9)
# LaAsOF2

A relaxed LaAsOF2 crystal (PBE, Alexandria).

POSCAR file:
```
LaAsOF2
1.0
4.641 0.000 0.000
0.000 4.641 0.000
0.000 0.000 4.818
As F O La
1 2 1 1
Direct
0.500 0.500 0.500
0.000 0.500 0.000
0.500 0.000 0.000
0.000 0.000 0.500
0.000 0.000 0.000
```

Calculated values
**Magnetization**: 2.0 μB/cell
**Offset from the most stable computed form**: 0.000 eV per formula unit



(10)
# LaAsO2F

A relaxed LaAsO2F crystal (PBE, Alexandria).

POSCAR file:
```
LaAsO2F
1.0
-1.923 3.553 0.947
-1.862 -1.862 3.206
3.311 1.108 2.566
As F O La
1 1 2 1
Direct
0.000 0.000 0.000
0.000 0.000 0.500
0.000 0.500 0.000
0.500 0.000 0.000
0.500 0.500 0.500
```

Calculated values
**Magnetization**: 0.3 μB/cell



(11)
# LaAsOsF2

A relaxed LaAsOsF2 crystal (PBE, Alexandria).

POSCAR file:
```
LaAsOsF2
1.0
4.365 0.000 0.000
0.000 4.888 0.000
0.000 0.000 4.365
As F Os La
1 2 1 1
Direct
0.000 0.500 0.000
0.000 0.000 0.500
0.500 0.000 0.000
0.000 0.000 0.000
0.500 0.500 0.500
```

Calculated values
**Magnetization**: 0.0 μB/cell



(12)
# LaAsRhF

A relaxed LaAsRhF crystal (PBE, Alexandria).

POSCAR file:
```
LaAsRhF
1.0
4.062 0.000 0.000
0.000 4.062 0.000
0.000 0.000 8.769
La As Rh F
2 2 2 2
Direct
0.500 0.000 0.687
0.000 0.500 0.313
0.000 0.500 0.833
0.500 0.000 0.167
0.500 0.500 0.000
0.000 0.000 0.000
0.000 0.000 0.500
0.500 0.500 0.500
```

Calculated values
**Magnetization**: 0.0 μB/cell



(13)
# LaAsRuF

A relaxed LaAsRuF crystal (PBE, Alexandria).

POSCAR file:
```
LaAsRuF
1.0
4.187 0.000 0.000
0.000 4.187 0.000
0.000 0.000 8.308
La As Ru F
2 2 2 2
Direct
0.500 0.000 0.688
0.000 0.500 0.312
0.000 0.500 0.843
0.500 0.000 0.157
0.500 0.500 0.000
0.000 0.000 0.000
0.000 0.000 0.500
0.500 0.500 0.500
```

Calculated values
**Magnetization**: 0.0 μB/cell



(14)
# LaSbAsF2

A relaxed LaSbAsF2 crystal (PBE, Alexandria).

POSCAR file:
```
LaSbAsF2
1.0
4.395 0.000 0.000
0.000 4.395 0.000
0.000 0.000 6.490
Sb As F La
1 1 2 1
Direct
0.500 0.500 0.500
0.000 0.000 0.000
0.000 0.500 0.000
0.500 0.000 0.000
0.000 0.000 0.500
```

Calculated values
**Magnetization**: 0.3 μB/cell



(15)
# La2YAsF

A relaxed La2YAsF crystal (PBE, Alexandria).

POSCAR file:
```
La2YAsF
1.0
-1.904 0.886 4.258
0.448 -5.716 1.390
4.334 0.772 1.777
Y As F La
1 1 1 2
Direct
0.500 0.500 0.500
0.000 0.500 0.000
0.000 0.000 0.000
0.000 0.000 0.500
0.500 0.000 0.000
```

Calculated values
**Magnetization**: 0.0 μB/cell



(16)
# Li3AsF9

A relaxed Li3AsF9 crystal (PBE, Alexandria).

POSCAR file:
```
Li3AsF9
1.0
-6.261 -0.754 4.407
0.631 0.321 7.667
-3.311 7.713 3.332
Li As F
6 2 18
Direct
0.793 0.528 0.683
0.996 0.028 0.183
0.009 0.973 0.806
0.212 0.473 0.306
0.494 0.251 0.744
0.511 0.751 0.244
0.002 0.501 0.994
0.503 0.001 0.494
0.416 0.168 0.319
0.097 0.668 0.819
0.224 0.286 0.916
0.574 0.786 0.416
0.249 0.004 0.604
0.144 0.504 0.104
0.781 0.715 0.072
0.431 0.215 0.572
0.757 0.998 0.385
0.861 0.498 0.885
0.590 0.833 0.670
0.907 0.333 0.170
0.400 0.596 0.230
0.774 0.096 0.730
0.605 0.405 0.759
0.231 0.905 0.259
0.003 0.000 0.995
0.002 0.500 0.495
```

Calculated values
**Magnetization**: 2.1 μB/cell



(17)
# Li3AsF

A relaxed Li3AsF crystal (PBE, Alexandria).

POSCAR file:
```
Li3AsF
1.0
4.004 0.000 0.000
0.000 4.004 0.000
0.000 0.000 4.004
As Li F
1 3 1
Direct
0.500 0.500 0.500
0.000 0.500 0.000
0.000 0.000 0.500
0.500 0.000 0.000
0.000 0.000 0.000
```

Calculated values
**Magnetization**: 0.0 μB/cell
**Offset from the most stable computed form**: 0.122 eV per formula unit



(18)
# Li3AsF

A relaxed Li3AsF crystal (PBE, Alexandria).

POSCAR file:
```
Li3AsF
1.0
-4.363 1.946 -0.759
-0.929 -3.382 -3.331
-1.870 -2.859 3.424
As Li F
1 3 1
Direct
0.000 0.000 0.000
0.000 0.500 0.000
0.000 0.000 0.500
0.500 0.000 0.000
0.500 0.500 0.500
```

Calculated values
**Magnetization**: 1.0 μB/cell
**Offset from the most stable computed form**: 3.875 eV per formula unit



(19)
# LiAs3F

A relaxed LiAs3F crystal (PBE, Alexandria).

POSCAR file:
```
LiAs3F
1.0
-0.070 2.617 3.756
-3.660 -2.288 1.526
2.749 -2.979 2.128
As Li F
3 1 1
Direct
0.000 0.500 0.000
0.000 0.000 0.500
0.500 0.000 0.000
0.500 0.500 0.500
0.000 0.000 0.000
```

Calculated values
**Magnetization**: 0.0 μB/cell
**Offset from the most stable computed form**: 0.000 eV per formula unit



(20)
# LiAs2F

A relaxed LiAs2F crystal (PBE, Alexandria).

POSCAR file:
```
LiAs2F
1.0
3.541 0.000 0.000
0.000 3.541 0.000
1.770 1.770 12.542
As Li F
4 2 2
Direct
0.615 0.125 0.250
0.135 0.625 0.250
0.375 0.385 0.750
0.875 0.865 0.750
0.500 0.500 0.000
0.250 0.750 0.500
0.000 0.000 0.000
0.750 0.250 0.500
```

Calculated values
**Magnetization**: 0.0 μB/cell
**Offset from the most stable computed form**: 0.000 eV per formula unit



no.,density of states at the Fermi level (states/eV per atom),calculated volume (Å³ per cell),ΔE_f (raw) (eV per atom)
1,0.802,84.4,-2.451
2,0.733,67.1,-2.215
3,0.547,86.5,-0.748
4,0.000,167.6,-1.547
5,0.330,150.4,-2.262
6,0.293,140.7,-1.923
7,0.478,84.0,-1.674
8,0.729,99.2,-1.437
9,0.304,103.8,-2.075
10,0.682,74.6,-1.761
11,0.814,93.1,-0.969
12,0.472,144.7,-2.055
13,0.710,145.7,-1.959
14,1.006,125.4,-1.154
15,0.800,133.0,-1.233
16,0.581,410.5,-2.280
17,0.511,64.2,-1.442
18,2.153,113.2,-0.692
19,0.496,96.0,0.069
20,0.213,157.2,-0.821